This record from the Alexandria database describes CoRe2Os after structural relaxation. The functional is PBE-GGA.

The structure belongs to space group I4/mmm (No. 139); the cell edges are 3.812, 3.812 and 7.565 Å and the angles 90.00°, 90.00° and 90.00°. Symmetry generates all atoms from Co at (0.000, 0.000, 0.000), Re at (0.000, 0.500, 0.250) and Os at (0.000, 0.000, 0.500).

Its total energy is -10.767 eV per atom. For the formation energy from the elements, the calculation gives 41 meV/atom. The calculation puts the distance to the lowest polymorph of the same formula at 0.093 eV per atom.

***

This record from the Alexandria database describes CoRe2Os after structural relaxation. The functional is PBE-GGA.

The structure belongs to space group Cmmm (No. 65); the cell edges are 5.359, 7.624 and 2.705 Å and the angles 90.00°, 90.00° and 90.00°. Symmetry generates all atoms from Co at (0.000, 0.000, 0.000), Re at (0.250, 0.250, 0.500) and Os at (0.000, 0.500, 0.000).

Its total energy is -10.736 eV per atom. For the formation energy from the elements, the calculation gives 72 meV/atom. The calculation puts the distance to the lowest polymorph of the same formula at 0.124 eV per atom.

***

This record from the Alexandria database describes CoReOs after structural relaxation. The functional is PBE-GGA.

The structure belongs to space group P2_1/m (No. 11); the cell edges are 4.631, 2.689 and 6.496 Å and the angles 90.00°, 90.51° and 90.00°. Symmetry generates all atoms from Co at (0.083, 0.250, 0.341), Re at (0.404, 0.250, 0.668) and Os at (0.242, 0.750, 0.006).

Its total energy is -10.136 eV per atom. For the formation energy from the elements, the calculation gives 126 meV/atom. The calculation puts the distance to the lowest polymorph of the same formula at 0.062 eV per atom.

***

This record from the Alexandria database describes CoRe2Os after structural relaxation. The functional is PBE-GGA.

The structure belongs to space group P4mm (No. 99); the cell edges are 2.707, 2.707 and 7.539 Å and the angles 90.00°, 90.00° and 90.00°. Symmetry generates all atoms from Co at (0.000, 0.000, 0.000), Re at (0.000, 0.000, 0.493), Re at (0.500, 0.500, 0.774) and Os at (0.500, 0.500, 0.247).

Its total energy is -10.703 eV per atom. For the formation energy from the elements, the calculation gives 105 meV/atom. The calculation puts the distance to the lowest polymorph of the same formula at 0.157 eV per atom.

***

Number 1: total moment 0.00 Bohr magnetons per cell. Number 2: total moment 0.00 Bohr magnetons per cell. Number 3: total moment 1.60 Bohr magnetons per cell. Number 4: total moment 0.00 Bohr magnetons per cell.